*w*
# RbCaB3

A relaxed structure of RbCaB3 (PBE-GGA, Alexandria via LeMat-Bulk).

a b c (Å): 4.8831 4.8831 4.8831
angles (deg): 90.00 90.00 90.00
Closest atoms and distances in Å follow each position.
Sites, in units of the cell vectors:
Ca 0.5000 0.5000 0.5000  12 B 3.45
B 0.0000 0.5000 0.0000  2 Rb 2.44
B 0.0000 0.0000 0.5000  2 Rb 2.44
B 0.5000 0.0000 0.0000  2 Rb 2.44
Rb 0.0000 0.0000 0.0000  6 B 2.44

Results
Calculated volume, Å³ per cell: 116.4
SG: Pm-3m, No. 221


*x*
# RbCaB3

A relaxed structure of RbCaB3 (PBE-GGA, Alexandria via LeMat-Bulk).

a b c (Å): 5.1564 5.1564 5.1564
angles (deg): 90.00 90.00 90.00
Closest atoms and distances in Å follow each position.
Sites, in units of the cell vectors:
Ca 0.0000 0.0000 0.0000  6 B 2.58
B 0.0000 0.5000 0.0000  2 Ca 2.58
B 0.0000 0.0000 0.5000  2 Ca 2.58
B 0.5000 0.0000 0.0000  2 Ca 2.58
Rb 0.5000 0.5000 0.5000  12 B 3.65

Results
Calculated volume, Å³ per cell: 137.1
SG: Pm-3m, No. 221


The most stable structure shown above is *x*; the least stable is *w*.